The following is a PBE calculation of a geometry-optimized LuBMo2 structure, from the Open Quantum Materials Database.

VASP energy (eV per atom): -7.791

a = 4.4301 Å, b = 4.4301 Å, c = 4.4301 Å
α = 60.00°, β = 60.00°, γ = 60.00°
Positions (direct):
Mo1 0.7500 0.7500 0.7500
Mo2 0.0000 0.0000 0.0000
Lu1 0.2500 0.2500 0.2500
B1 0.5000 0.5000 0.5000